#one
HoTmTlIr: relaxed, GGA-PBE.

DOS at the Fermi energy	0.36	states/eV/atom

Unit cell a=5.0530 b=5.0530 c=5.0530 alpha=60.00 beta=60.00 gamma=60.00
Sites, in units of the cell vectors:
Ho: 0.0000 0.0000 0.0000
Tm: 0.5000 0.5000 0.5000
Tl: 0.7500 0.7500 0.7500
Ir: 0.2500 0.2500 0.2500

---

#two
HoTmTlIr: relaxed, GGA-PBE.

DOS at the Fermi energy	0.76	states/eV/atom

Unit cell a=3.4332 b=3.4332 c=8.0118 alpha=90.00 beta=90.00 gamma=90.00
Sites, in units of the cell vectors:
Ho: 0.0000 0.0000 0.0000
Tm: 0.0000 0.0000 0.5901
Tl: 0.5000 0.5000 0.2973
Ir: 0.5000 0.5000 0.7917

---

Stability check: which of them is least stable? #one.